Density functional theory data (PBE) for Ti3SbH after structural relaxation.

Its excess energy over the best structure of this formula in the dataset is 146 meV per atom. The symmetry is P2_1/m. As for the density: 5.934 Mg/m³.

Cell lengths 4.703, 5.477, 5.788 Å; angles 90.00, 90.57, 90.00 degrees
Element x y z (fractional)
Ti: 0.000 0.000 0.000
Ti: 0.000 0.500 0.000
Ti: 0.004 0.250 0.552
Ti: 0.498 0.250 0.305
Ti: 0.502 0.750 0.695
Ti: 0.996 0.750 0.448
Sb: 0.497 0.750 0.198
Sb: 0.503 0.250 0.802
H: 0.103 0.250 0.228
H: 0.897 0.750 0.772

=====

Density functional theory data (PBE) for Ti3SbH after structural relaxation.

Its excess energy over the best structure of this formula in the dataset is 392 meV per atom. The symmetry is C2/m. As for the density: 5.392 Mg/m³.

Cell lengths 7.964, 7.964, 8.100 Å; angles 118.72, 118.72, 21.48 degrees
Element x y z (fractional)
Ti: 0.028 0.028 0.180
Ti: 0.189 0.189 0.110
Ti: 0.330 0.330 0.522
Ti: 0.670 0.670 0.478
Ti: 0.811 0.811 0.890
Ti: 0.972 0.972 0.820
Sb: 0.392 0.392 0.245
Sb: 0.608 0.608 0.755
H: 0.179 0.179 0.339
H: 0.821 0.821 0.661

=====

Density functional theory data (PBE) for Ti3SbH after structural relaxation.

Its excess energy over the best structure of this formula in the dataset is 50 meV per atom. The symmetry is Cm. As for the density: 5.998 Mg/m³.

Cell lengths 5.814, 5.814, 5.098 Å; angles 100.93, 100.93, 61.33 degrees
Element x y z (fractional)
Ti: 0.000 0.000 0.000
Ti: 0.249 0.249 0.554
Ti: 0.255 0.740 0.488
Ti: 0.496 0.999 0.072
Ti: 0.740 0.255 0.488
Ti: 0.999 0.496 0.072
Sb: 0.489 0.489 0.985
Sb: 0.760 0.760 0.575
H: 0.067 0.067 0.365
H: 0.159 0.159 0.853

=====

Density functional theory data (PBE) for Ti3SbH after structural relaxation.

Its excess energy over the best structure of this formula in the dataset is 230 meV per atom. The symmetry is P2_1/m. As for the density: 5.265 Mg/m³.

Cell lengths 4.453, 5.602, 7.080 Å; angles 90.00, 107.93, 90.00 degrees
Element x y z (fractional)
Ti: 0.099 0.250 0.193
Ti: 0.303 0.508 0.609
Ti: 0.303 0.992 0.609
Ti: 0.697 0.008 0.391
Ti: 0.697 0.492 0.391
Ti: 0.901 0.750 0.807
Sb: 0.115 0.750 0.224
Sb: 0.885 0.250 0.776
H: 0.402 0.750 0.813
H: 0.598 0.250 0.187